[1]
5
Lattice="5.155 0.000 0.000 0.000 5.421 0.000 0.000 0.000 5.155" Properties=species:S:1:pos:R:3 comment="LaCdAsCl2 (PBE-GGA, optimized geometry)" formation_energy_uncorrected_ev_per_atom=-0.238 pbc="T T T"
Cl 2.577 0.000 0.000
As 0.000 0.000 0.000
La 2.577 2.710 2.577
Cd 0.000 2.710 0.000
Cl 0.000 0.000 2.577


[2]
5
Lattice="-4.686 -1.236 -1.392 1.962 -1.990 -4.839 0.575 -4.547 2.103" Properties=species:S:1:pos:R:3 comment="MgCdAsCl2 (PBE-GGA, optimized geometry)" formation_energy_uncorrected_ev_per_atom=-0.139 pbc="T T T"
Cd 0.000 0.000 0.000
As 0.981 -0.995 -2.419
Cl 0.287 -2.273 1.051
Cl -2.343 -0.618 -0.696
Mg -1.074 -3.886 -2.064


[3]
5
Lattice="-3.093 3.580 0.669 -4.244 -3.512 -0.828 -0.110 -0.970 4.678" Properties=species:S:1:pos:R:3 comment="CdAs2ClO (PBE-GGA, optimized geometry)" formation_energy_uncorrected_ev_per_atom=1.313 pbc="T T T"
As -1.547 1.790 0.335
Cd -2.122 -1.756 -0.414
Cl 0.000 0.000 0.000
As -0.055 -0.485 2.339
O -3.724 -0.451 2.259


[4]
5
Lattice="5.201 0.000 0.000 0.000 4.954 0.000 0.000 0.000 5.201" Properties=species:S:1:pos:R:3 comment="CdAsOs2Cl (PBE-GGA, optimized geometry)" formation_energy_uncorrected_ev_per_atom=2.506 pbc="T T T"
Os 2.600 0.000 0.000
As 0.000 2.477 0.000
Os 0.000 0.000 2.600
Cl 2.600 2.477 2.600
Cd 0.000 0.000 0.000


[5]
5
Lattice="-3.893 2.589 1.108 -0.578 -2.584 4.009 2.845 3.214 2.483" Properties=species:S:1:pos:R:3 comment="CdAsP2Cl (PBE-GGA, optimized geometry)" formation_energy_uncorrected_ev_per_atom=0.580 pbc="T T T"
Cl 1.422 1.607 1.241
P -0.289 -1.292 2.004
P -1.946 1.295 0.554
As 0.000 0.000 0.000
Cd -0.813 1.610 3.800


[6]
5
Lattice="4.980 0.000 0.000 0.000 4.980 0.000 0.000 0.000 5.428" Properties=species:S:1:pos:R:3 comment="CdAsPCl2 (PBE-GGA, optimized geometry)" formation_energy_uncorrected_ev_per_atom=0.483 pbc="T T T"
P 0.000 0.000 2.714
Cd 0.000 0.000 0.000
Cl 2.490 0.000 0.000
Cl 0.000 2.490 0.000
As 2.490 2.490 2.714


[7]
5
Lattice="-1.192 3.206 3.738 -0.986 -3.923 3.050 4.708 -0.010 1.509" Properties=species:S:1:pos:R:3 comment="CdAsP2Cl (PBE-GGA, optimized geometry)" formation_energy_uncorrected_ev_per_atom=1.009 pbc="T T T"
Cd 0.000 0.000 0.000
As 1.265 -0.364 4.149
P -0.493 -1.962 1.525
Cl 2.354 -0.005 0.755
P -0.596 1.603 1.869


[8]
5
Lattice="-1.521 4.659 0.258 -4.206 -1.487 2.047 2.094 0.428 4.613" Properties=species:S:1:pos:R:3 comment="CdAsPCl2 (PBE-GGA, optimized geometry)" formation_energy_uncorrected_ev_per_atom=0.152 pbc="T T T"
Cl -2.103 -0.743 1.024
As 0.000 0.000 0.000
Cl -0.761 2.330 0.129
Cd -1.816 1.800 3.460
P 1.047 0.214 2.307


In the order shown, the computed V values come out to 144.0 142.1 127.2 134.0 114.5 134.6 126.9 122.5 Å³/f.u..